Compound: InIBr2
Source: Alexandria
Functional: GGA-PBEsol
Structure: relaxed

Cell and atoms, written as CIF:
```
data_InIBr2
_chemical_formula_sum 'In3 I3 Br6'
_cell_length_a 3.2427
_cell_length_b 3.2427
_cell_length_c 38.2826
_cell_angle_alpha 90.00
_cell_angle_beta 90.00
_cell_angle_gamma 120.00
_symmetry_space_group_name_H-M 'R -3 m'
_symmetry_Int_Tables_number 166
_symmetry_space_group_name_Hall '-R 3 2"'
loop_
_atom_site_label
_atom_site_fract_x
_atom_site_fract_y
_atom_site_fract_z
In1 0.0000 0.0000 0.0000
I1 0.0000 0.0000 0.5000
Br1 0.0000 0.0000 0.0711
```

uncorrected energy	-2.10	eV per atom
theoretical density	5.74	g/cm³
total magnetic moment	0.00	μB per formula unit